Density functional theory data (PBE) for a geometry-optimized CsMn3N structure.

Unit cell a=4.377 b=4.377 c=4.377 alpha=90.00 beta=90.00 gamma=90.00
Space group Pm-3m (No. 221)
One atom of each set of equivalent atoms:
Cs1 0.000 0.000 0.000 (multiplicity 1)
Mn1 0.000 0.500 0.500 (multiplicity 3)
N1 0.500 0.500 0.500 (multiplicity 1)

Properties
The uncorrected formation energy is 0.9764 eV per atom. As for the total energy: -31.81 eV per cell.